(1)
Compound: SbTe2Cl
Source: the Alexandria database
Functional: GGA-PBE
Structure: relaxed

Properties
- total moment (μB per cell) = 0.00
- density (Mg/m³) = 5.925

a b c (Å): 3.790 5.592 5.750
angles (deg): 90.00 108.50 90.00
Space group P2/m (No. 10)
Unique sites:
Sb (0.000, 0.000, 0.000) (multiplicity 1)
Te (0.370, 0.500, 0.230) (multiplicity 2)
Cl (0.000, 0.000, 0.500) (multiplicity 1)

(2)
Compound: Pu7Ir4Ru
Source: the Alexandria database
Functional: GGA-PBE
Structure: relaxed

Properties
- total moment (μB per cell) = 9.99
- formation enthalpy at 0 K (meV per atom) = -162
- density (Mg/m³) = 16.738

a b c (Å): 11.777 5.305 9.793
angles (deg): 90.00 123.28 90.00
Space group C2/m (No. 12)
Unique sites:
Pu (0.000, 0.000, 0.000) (multiplicity 2)
Pu (0.026, 0.500, 0.361) (multiplicity 4)
Pu (0.193, 0.500, 0.933) (multiplicity 4)
Pu (0.213, 0.000, 0.649) (multiplicity 4)
Ir (0.038, 0.000, 0.749) (multiplicity 4)
Ir (0.235, 0.000, 0.337) (multiplicity 4)
Ru (0.000, 0.500, 0.000) (multiplicity 2)

(3)
Compound: PmSm2Sc3
Source: the Alexandria database
Functional: GGA-PBE
Structure: relaxed

Properties
- total moment (μB per cell) = 0.00
- formation enthalpy at 0 K (meV per atom) = 230
- density (Mg/m³) = 5.436

a b c (Å): 9.135 12.634 6.148
angles (deg): 90.00 90.00 90.00
Space group Cmc2_1 (No. 36)
Unique sites:
Pm (0.000, 0.171, 0.000) (multiplicity 4)
Sm (0.183, 0.443, 0.217) (multiplicity 8)
Sc (0.000, 0.089, 0.472) (multiplicity 4)
Sc (0.177, 0.301, 0.667) (multiplicity 8)

(4)
Compound: MnAl2Pt
Source: the Alexandria database
Functional: GGA-PBE
Structure: relaxed

Properties
- total moment (μB per cell) = 2.36
- formation enthalpy at 0 K (meV per atom) = -498
- density (Mg/m³) = 8.818

a b c (Å): 2.814 3.796 5.358
angles (deg): 90.00 90.00 90.00
Space group Pmm2 (No. 25)
Unique sites:
Mn (0.000, 0.000, 0.000) (multiplicity 1)
Al (0.000, 0.000, 0.510) (multiplicity 1)
Al (0.500, 0.500, 0.799) (multiplicity 1)
Pt (0.500, 0.500, 0.298) (multiplicity 1)

(5)
Compound: KIr2Cl
Source: the Alexandria database
Functional: GGA-PBE
Structure: relaxed

Properties
- total moment (μB per cell) = 0.00
- density (Mg/m³) = 7.513

a b c (Å): 3.700 3.700 7.410
angles (deg): 90.00 90.00 90.00
Space group P4/mmm (No. 123)
Unique sites:
K (0.000, 0.000, 0.000) (multiplicity 1)
Ir (0.000, 0.500, 0.500) (multiplicity 2)
Cl (0.500, 0.500, 0.000) (multiplicity 1)

(6)
Compound: Tl15In2Sn2
Source: the Alexandria database
Functional: GGA-PBE
Structure: relaxed

Properties
- total moment (μB per cell) = 0.00
- formation enthalpy at 0 K (meV per atom) = 107
- density (Mg/m³) = 9.264

a b c (Å): 13.415 10.881 8.802
angles (deg): 90.00 99.69 90.00
Space group C2/m (No. 12)
Unique sites:
Tl (0.000, 0.000, 0.000) (multiplicity 2)
Tl (0.000, 0.318, 0.500) (multiplicity 4)
Tl (0.083, 0.255, 0.163) (multiplicity 8)
Tl (0.165, 0.500, 0.345) (multiplicity 4)
Tl (0.168, 0.175, 0.834) (multiplicity 8)
Tl (0.250, 0.250, 0.500) (multiplicity 4)
In (0.083, 0.000, 0.409) (multiplicity 4)
Sn (0.244, 0.500, 0.775) (multiplicity 4)

(7)
Compound: MgAlCu2
Source: the Alexandria database
Functional: GGA-PBE
Structure: relaxed

Properties
- total moment (μB per cell) = 0.00
- formation enthalpy at 0 K (meV per atom) = -36
- density (Mg/m³) = 4.944

a b c (Å): 8.569 2.928 4.887
angles (deg): 90.00 102.24 90.00
Space group C2/m (No. 12)
Unique sites:
Mg (0.000, 0.000, 0.000) (multiplicity 2)
Al (0.000, 0.500, 0.500) (multiplicity 2)
Cu (0.243, 0.000, 0.723) (multiplicity 4)

(8)
Compound: Sr2CdOs
Source: the Alexandria database
Functional: GGA-PBE
Structure: relaxed

Properties
- total moment (μB per cell) = 0.99
- formation enthalpy at 0 K (meV per atom) = 640
- density (Mg/m³) = 6.675

a b c (Å): 3.6410 3.6410 31.0656
angles (deg): 90.00 90.00 120.00
Space group R-3m (No. 166, hexagonal axes)
Unique sites:
Sr (0.0000, 0.0000, 0.2355) (multiplicity 6)
Cd (0.0000, 0.0000, 0.0000) (multiplicity 3)
Os (0.0000, 0.0000, 0.5000) (multiplicity 3)

Number 1: VASP energy -3.098 eV per atom. Number 2: VASP energy -12.249 eV per atom. Number 3: VASP energy -5.300 eV per atom. Number 4: VASP energy -6.171 eV per atom. Number 5: VASP energy -4.610 eV per atom. Number 6: VASP energy -2.471 eV per atom. Number 7: VASP energy -3.419 eV per atom. Number 8: VASP energy -3.237 eV per atom.